1.
This record from the Alexandria database describes an optimized crystal structure of Li5Pb4Au. The functional is PBE.

Geometry as POSCAR:
```
Li5Pb4Au
1.0
-2.836 -0.874 1.825
-0.251 -2.966 -1.810
9.950 -7.951 11.653
Au Pb Li
1 4 5
Cartesian
0.000 0.000 0.000
1.802 -1.440 2.111
8.148 -6.511 9.543
6.033 -4.822 7.066
3.916 -3.130 4.587
1.309 -4.199 3.348
3.432 -5.896 5.834
-0.761 -2.545 0.924
5.554 -7.592 8.320
7.624 -9.246 10.744
```

## Properties
Density ... 8.41 g cm⁻³
N(E_F) ... 4.2 states/eV/f.u.

2.
This record from the Alexandria database describes an optimized crystal structure of Li2PbAu. The functional is PBE.

Geometry as POSCAR:
```
Li2PbAu
1.0
3.417 0.000 0.000
1.708 2.959 0.000
1.708 0.986 8.136
Au Pb Li
1 1 2
Cartesian
3.417 1.973 0.020
3.417 1.973 4.052
1.708 0.986 1.719
1.708 0.986 6.413
```

## Properties
Density ... 8.44 g cm⁻³
N(E_F) ... 1.5 states/eV/f.u.

3.
This record from the Alexandria database describes an optimized crystal structure of Li6PbAu12. The functional is PBE.

Geometry as POSCAR:
```
Li6PbAu12
1.0
7.268 -0.193 -0.232
-1.293 7.155 -0.232
-1.293 -1.507 6.998
Li Au Pb
6 12 1
Cartesian
1.930 4.598 5.517
4.253 4.963 3.549
2.752 0.856 1.017
4.261 2.606 5.510
0.429 0.492 2.986
0.421 2.849 1.024
-0.151 3.297 3.954
1.396 5.104 2.584
3.282 3.827 1.051
1.400 1.627 5.483
3.679 0.273 6.765
4.833 2.158 2.581
5.973 4.638 1.477
-1.291 0.817 5.057
3.286 0.351 3.951
1.003 5.182 -0.230
-0.288 5.999 4.828
4.970 -0.544 1.707
0.000 0.000 0.000
```

## Properties
Density ... 12.15 g cm⁻³
N(E_F) ... 5.1 states/eV/f.u.

4.
This record from the Alexandria database describes an optimized crystal structure of Li8Pb2Au. The functional is PBE.

Geometry as POSCAR:
```
Li8Pb2Au
1.0
-0.609 0.897 -4.592
1.420 -6.004 -1.360
-7.191 0.821 3.537
Li Au Pb
8 1 2
Cartesian
-1.912 -1.612 -2.485
-2.422 -0.619 0.200
-7.429 0.156 -1.409
1.050 -4.443 -1.007
-1.230 -4.507 -3.141
-4.468 -2.675 0.070
-5.150 0.220 0.725
-3.958 -3.667 -2.616
-0.304 0.448 -2.296
-1.775 -3.636 -0.475
-4.605 -0.651 -1.941
```

## Properties
Density ... 5.29 g cm⁻³
N(E_F) ... 3.7 states/eV/f.u.

5.
This record from the Alexandria database describes an optimized crystal structure of LiPb2Au. The functional is PBE.

Geometry as POSCAR:
```
LiPb2Au
1.0
-2.282 -1.205 4.072
-3.670 -3.123 -0.127
1.430 -5.484 2.032
Au Li Pb
1 1 2
Cartesian
-2.572 -8.329 4.654
-2.195 -4.984 3.002
-1.339 -2.206 1.450
0.752 -4.682 1.890
```

## Properties
Density ... 9.56 g cm⁻³
N(E_F) ... 1.3 states/eV/f.u.
E above lowest polymorph ... 0.064 eV per atom

6.
This record from the Alexandria database describes an optimized crystal structure of Li6Pb2Au. The functional is PBE.

Geometry as POSCAR:
```
Li6Pb2Au
1.0
-1.356 -0.948 -2.626
2.581 -7.346 1.321
-8.358 1.335 0.143
Li Au Pb
6 1 2
Cartesian
-5.027 -4.853 -1.181
1.068 -5.443 -0.419
-4.194 -7.224 -0.755
-2.938 0.265 -0.406
-2.106 -2.106 0.020
0.157 -2.851 -0.885
0.000 0.000 0.000
-1.966 -5.084 -0.825
-5.167 -1.876 -0.337
```

## Properties
Density ... 6.50 g cm⁻³
N(E_F) ... 2.8 states/eV/f.u.
E above lowest polymorph ... 0.021 eV per atom

7.
This record from the Alexandria database describes an optimized crystal structure of Li2Pb2Au. The functional is PBE.

Geometry as POSCAR:
```
Li2Pb2Au
1.0
7.717 0.000 0.000
0.000 7.717 0.000
0.000 0.000 3.771
Pb Au Li
4 2 4
Cartesian
5.015 1.156 0.000
2.702 6.561 0.000
1.156 2.702 0.000
6.561 5.015 0.000
0.000 0.000 0.000
3.859 3.859 0.000
6.537 2.678 1.885
5.039 6.537 1.885
2.678 1.180 1.885
1.180 5.039 1.885
```

## Properties
Density ... 9.25 g cm⁻³
N(E_F) ... 1.8 states/eV/f.u.

8.
This record from the Alexandria database describes an optimized crystal structure of LiPb2Au2. The functional is PBE.

Geometry as POSCAR:
```
LiPb2Au2
1.0
-3.671 4.409 -4.589
-4.907 1.412 5.281
2.423 3.411 1.339
Pb Au Li
4 4 2
Cartesian
-5.319 5.835 1.966
-3.443 5.823 -1.397
-0.836 3.397 0.066
-2.712 3.408 3.429
-5.546 2.804 2.890
-6.297 4.696 -0.571
-3.032 3.016 -2.198
-2.281 1.124 1.264
-4.289 2.910 0.346
0.000 0.000 0.000
```

## Properties
Density ... 11.42 g cm⁻³
N(E_F) ... 2.0 states/eV/f.u.
E above lowest polymorph ... 0.025 eV per atom

9.
This record from the Alexandria database describes an optimized crystal structure of LiPb2Au. The functional is PBE.

Geometry as POSCAR:
```
LiPb2Au
1.0
-4.019 3.041 -0.913
-3.703 0.604 -3.487
-4.331 -3.005 2.313
Pb Au Li
2 1 1
Cartesian
-4.384 -2.962 2.266
-5.974 0.278 -0.996
-9.039 0.481 -1.565
-3.013 0.160 -0.522
```

## Properties
Density ... 10.70 g cm⁻³
N(E_F) ... 1.1 states/eV/f.u.
E above lowest polymorph ... 0.082 eV per atom

10.
This record from the Alexandria database describes an optimized crystal structure of LiPb2Au. The functional is PBE.

Geometry as POSCAR:
```
LiPb2Au
1.0
4.313 0.038 0.000
-0.052 5.609 0.000
0.000 0.000 8.222
Li Pb Au
2 4 2
Cartesian
3.197 4.220 6.166
1.064 1.427 2.055
3.222 1.346 4.440
1.038 4.302 0.329
3.222 1.346 7.893
1.038 4.302 3.782
1.056 2.566 6.166
3.205 3.082 2.055
```

## Properties
Density ... 10.32 g cm⁻³
N(E_F) ... 1.6 states/eV/f.u.
E above lowest polymorph ... 0.001 eV per atom

11.
This record from the Alexandria database describes an optimized crystal structure of Li2Pb2Au. The functional is PBE.

Geometry as POSCAR:
```
Li2Pb2Au
1.0
-0.925 -4.174 1.445
3.166 -4.042 -2.600
6.508 -1.545 6.749
Li Pb Au
4 4 2
Cartesian
3.233 -3.578 -1.218
3.475 -2.304 2.618
5.274 -7.458 2.977
5.517 -6.183 6.813
7.603 -7.248 5.072
4.780 -4.424 4.375
1.146 -2.513 0.522
3.969 -5.337 1.219
1.673 -4.209 3.006
7.076 -5.552 2.588
```

## Properties
Density ... 9.45 g cm⁻³
N(E_F) ... 1.7 states/eV/f.u.

12.
This record from the Alexandria database describes an optimized crystal structure of Li5Pb2Au. The functional is PBE.

Geometry as POSCAR:
```
Li5Pb2Au
1.0
4.705 0.000 0.000
0.000 4.705 0.000
-2.352 -2.352 6.916
Li Pb Au
5 2 1
Cartesian
0.000 2.352 1.531
2.352 2.352 0.000
2.352 0.000 5.385
2.352 0.000 1.531
0.000 2.352 5.385
0.000 0.000 3.542
2.352 2.352 3.374
0.000 0.000 0.000
```

## Properties
Density ... 7.01 g cm⁻³
N(E_F) ... 1.3 states/eV/f.u.

Number 1: formation enthalpy at 0 K -310 meV per atom. Number 2: formation enthalpy at 0 K -253 meV per atom. Number 3: formation enthalpy at 0 K -269 meV per atom. Number 4: formation enthalpy at 0 K -320 meV per atom. Number 5: formation enthalpy at 0 K -144 meV per atom. Number 6: formation enthalpy at 0 K -305 meV per atom. Number 7: formation enthalpy at 0 K -165 meV per atom. Number 8: formation enthalpy at 0 K -186 meV per atom. Number 9: formation enthalpy at 0 K -127 meV per atom. Number 10: formation enthalpy at 0 K -208 meV per atom. Number 11: formation enthalpy at 0 K -256 meV per atom. Number 12: formation enthalpy at 0 K -314 meV per atom.